Record 1
# Mn2GaOs PBE relaxed
data_Mn2GaOs
_symmetry_space_group_name_H-M 'P 1'
_symmetry_Int_Tables_number 1
_symmetry_space_group_name_Hall 'P 1'
_cell_length_a 2.6846
_cell_length_b 2.6846
_cell_length_c 8.5475
_cell_angle_alpha 80.96
_cell_angle_beta 80.96
_cell_angle_gamma 60.00
loop_
_atom_site_label
_atom_site_fract_x
_atom_site_fract_y
_atom_site_fract_z
_atom_site_occupancy
Ga1 0.0000 0.0000 0.0000 1
Mn1 0.2501 0.2501 0.2496 1
Mn2 0.7499 0.7499 0.7504 1
Os1 0.5000 0.5000 0.5000 1
# Formation energy in eV/atom: 0.0896
# SG: R-3m (166)

Record 2
# Mn2GaOs PBE relaxed
data_Mn2GaOs
_symmetry_space_group_name_H-M 'P 1'
_symmetry_Int_Tables_number 1
_symmetry_space_group_name_Hall 'P 1'
_cell_length_a 6.8523
_cell_length_b 6.8523
_cell_length_c 5.4805
_cell_angle_alpha 51.31
_cell_angle_beta 51.31
_cell_angle_gamma 90.00
loop_
_atom_site_label
_atom_site_fract_x
_atom_site_fract_y
_atom_site_fract_z
_atom_site_occupancy
Mn1 0.8750 0.8902 0.7500 1
Mn2 0.3750 0.3598 0.7500 1
Mn3 0.6402 0.1250 0.2500 1
Mn4 0.1098 0.6250 0.2500 1
Ga1 0.2500 0.7500 0.5000 1
Ga2 0.5000 0.5000 0.0000 1
Os1 0.0000 0.0000 0.0000 1
Os2 0.7500 0.2500 0.5000 1
# Formation energy in eV/atom: 0.5578
# SG: I-42d (122)

Record 3
# Mn2GaOs2 PBE relaxed
data_Mn2GaOs2
_symmetry_space_group_name_H-M 'P 1'
_symmetry_Int_Tables_number 1
_symmetry_space_group_name_Hall 'P 1'
_cell_length_a 7.2544
_cell_length_b 7.2544
_cell_length_c 2.6890
_cell_angle_alpha 90.00
_cell_angle_beta 90.00
_cell_angle_gamma 90.00
loop_
_atom_site_label
_atom_site_fract_x
_atom_site_fract_y
_atom_site_fract_z
_atom_site_occupancy
Os1 0.3699 0.8699 0.0000 1
Os2 0.1301 0.3699 0.0000 1
Os3 0.8699 0.6301 0.0000 1
Os4 0.6301 0.1301 0.0000 1
Mn1 0.1623 0.6623 0.5000 1
Mn2 0.8377 0.3377 0.5000 1
Mn3 0.6623 0.8377 0.5000 1
Mn4 0.3377 0.1623 0.5000 1
Ga1 0.5000 0.5000 0.0000 1
Ga2 0.0000 0.0000 0.0000 1
# Formation energy in eV/atom: 0.2405
# SG: P4/mbm (127)